Here is NbB3S at its PBEsol-relaxed geometry from Alexandria via LeMat-Bulk. Energies are from meta-GGA SCAN.

Cell: 4.308 4.308 4.308 Å, 90.00 90.00 90.00°
Positions (direct):
Nb 0.000 0.000 0.000
B 0.000 0.000 0.500
B 0.000 0.500 0.000
B 0.500 0.000 0.000
S 0.500 0.500 0.500

- space group = No. 221
- calculated volume (Å³/cell) = 80.0
- density of states at the Fermi level (states/eV per atom) = 0.690
- formation energy from raw total energies (eV/atom) = 2.11



Here is YSc2Ta at its PBEsol-relaxed geometry from Alexandria via LeMat-Bulk. Energies are from meta-GGA SCAN.

Cell: 5.365 5.365 5.762 Å, 97.06 97.06 33.38°
Positions (direct):
Y 0.000 0.000 0.000
Sc 0.239 0.239 0.721
Sc 0.761 0.761 0.279
Ta 0.500 0.500 0.500

- space group = No. 12
- DFT formation energy (meV/atom) = 268
- calculated volume (Å³/cell) = 90.5
- density of states at the Fermi level (states/eV per atom) = 1.358
- energy relative to the lowest polymorph listed for this composition (eV/f.u.) = 0.01



Here is ZnInAg2 at its PBEsol-relaxed geometry from Alexandria via LeMat-Bulk. Energies are from meta-GGA SCAN.

Cell: 3.473 3.473 5.800 Å, 90.00 90.00 90.00°
Positions (direct):
Zn 0.000 0.000 0.000
In 0.500 0.500 0.717
Ag 0.000 0.000 0.463
Ag 0.500 0.500 0.208

- space group = No. 99
- DFT formation energy (meV/atom) = 23
- calculated volume (Å³/cell) = 69.9
- density of states at the Fermi level (states/eV per atom) = 0.241



Here is ZrAs2Au at its PBEsol-relaxed geometry from Alexandria via LeMat-Bulk. Energies are from meta-GGA SCAN.

Cell: 8.807 8.807 8.807 Å, 20.65 20.65 20.65°
Positions (direct):
Zr 0.000 0.000 0.000
As 0.249 0.249 0.249
As 0.751 0.751 0.751
Au 0.500 0.500 0.500

- space group = No. 166
- DFT formation energy (meV/atom) = -115
- calculated volume (Å³/cell) = 74.4
- density of states at the Fermi level (states/eV per atom) = 0.587



Here is MnGaPt at its PBEsol-relaxed geometry from Alexandria via LeMat-Bulk. Energies are from meta-GGA SCAN.

Cell: 4.060 4.060 4.060 Å, 60.00 60.00 60.00°
Positions (direct):
Mn 0.000 0.000 0.000
Ga 0.250 0.250 0.250
Pt 0.500 0.500 0.500

- space group = No. 216
- DFT formation energy (meV/atom) = -472
- calculated volume (Å³/cell) = 47.3
- density of states at the Fermi level (states/eV per atom) = 0.594



Here is Al2ZnCd at its PBEsol-relaxed geometry from Alexandria via LeMat-Bulk. Energies are from meta-GGA SCAN.

Cell: 2.821 4.912 5.093 Å, 90.00 90.00 90.00°
Positions (direct):
Al 0.000 0.000 0.000
Al 0.500 0.500 0.000
Zn 0.000 0.500 0.500
Cd 0.500 0.000 0.500

- space group = No. 47
- DFT formation energy (meV/atom) = 160
- calculated volume (Å³/cell) = 70.6
- density of states at the Fermi level (states/eV per atom) = 0.385
- energy relative to the lowest polymorph listed for this composition (eV/f.u.) = 0.33



Here is NbFe2 at its PBEsol-relaxed geometry from Alexandria via LeMat-Bulk. Energies are from meta-GGA SCAN.

Cell: 4.709 4.709 7.748 Å, 90.00 90.00 120.00°
Positions (direct):
Nb 0.333 0.667 0.066
Nb 0.333 0.667 0.434
Nb 0.667 0.333 0.566
Nb 0.667 0.333 0.934
Fe 0.000 0.000 0.000
Fe 0.000 0.000 0.500
Fe 0.171 0.341 0.750
Fe 0.171 0.829 0.750
Fe 0.341 0.171 0.250
Fe 0.659 0.829 0.750
Fe 0.829 0.171 0.250
Fe 0.829 0.659 0.250

- space group = No. 194
- DFT formation energy (meV/atom) = -16
- calculated volume (Å³/cell) = 148.8
- density of states at the Fermi level (states/eV per atom) = 0.842



Here is LaYOF2 at its PBEsol-relaxed geometry from Alexandria via LeMat-Bulk. Energies are from meta-GGA SCAN.

Cell: 4.409 4.409 4.397 Å, 90.00 90.00 90.00°
Positions (direct):
La 0.000 0.000 0.000
Y 0.500 0.500 0.500
O 0.500 0.500 0.000
F 0.000 0.500 0.500
F 0.500 0.000 0.500

- space group = No. 123
- calculated volume (Å³/cell) = 85.5
- density of states at the Fermi level (states/eV per atom) = 0.627
- formation energy from raw total energies (eV/atom) = -2.97



Here is RbGe3Ir at its PBEsol-relaxed geometry from Alexandria via LeMat-Bulk. Energies are from meta-GGA SCAN.

Cell: 5.101 5.101 5.101 Å, 90.00 90.00 90.00°
Positions (direct):
Rb 0.000 0.000 0.000
Ge 0.000 0.000 0.500
Ge 0.000 0.500 0.000
Ge 0.500 0.000 0.000
Ir 0.500 0.500 0.500

- space group = No. 221
- DFT formation energy (meV/atom) = 2790
- calculated volume (Å³/cell) = 132.7
- density of states at the Fermi level (states/eV per atom) = 0.730



Here is AgRhAu2 at its PBEsol-relaxed geometry from Alexandria via LeMat-Bulk. Energies are from meta-GGA SCAN.

Cell: 4.745 4.745 4.745 Å, 128.44 128.44 75.92°
Positions (direct):
Ag 0.000 0.000 0.000
Rh 0.500 0.500 0.000
Au 0.250 0.750 0.500
Au 0.750 0.250 0.500

- space group = No. 139
- DFT formation energy (meV/atom) = 109
- calculated volume (Å³/cell) = 63.7
- density of states at the Fermi level (states/eV per atom) = 0.719
- energy relative to the lowest polymorph listed for this composition (eV/f.u.) = 0.14



Here is Cu3Tc at its PBEsol-relaxed geometry from Alexandria via LeMat-Bulk. Energies are from meta-GGA SCAN.

Cell: 3.650 3.650 3.650 Å, 90.00 90.00 90.00°
Positions (direct):
Cu 0.000 0.000 0.500
Cu 0.000 0.500 0.000
Cu 0.500 0.000 0.000
Tc 0.500 0.500 0.500

- space group = No. 221
- DFT formation energy (meV/atom) = 430
- calculated volume (Å³/cell) = 48.6
- density of states at the Fermi level (states/eV per atom) = 2.045



Here is AlAs3Ru at its PBEsol-relaxed geometry from Alexandria via LeMat-Bulk. Energies are from meta-GGA SCAN.

Cell: 4.632 4.632 4.632 Å, 90.00 90.00 90.00°
Positions (direct):
Al 0.000 0.000 0.000
As 0.000 0.000 0.500
As 0.000 0.500 0.000
As 0.500 0.000 0.000
Ru 0.500 0.500 0.500

- space group = No. 221
- DFT formation energy (meV/atom) = 1137
- calculated volume (Å³/cell) = 99.4
- density of states at the Fermi level (states/eV per atom) = 0.954